Tl2VPbF6: optimized geometry, PBE with a Hubbard U.

Summary:
Raw total energy   -4.93 eV per atom
Mass density   6.84 g cm⁻³
Volume   19.0 Å³/atom

a b c (Å): 6.238 9.054 6.714
angles (deg): 90.00 90.00 90.00
Space group Pmmn (No. 59, origin choice 2)
Unique sites:
Tl1 0.250 0.028 0.206
V1 0.250 0.750 0.777
Pb1 0.250 0.250 0.714
F1 0.001 0.750 0.996
F2 0.002 0.750 0.563
F3 0.250 0.515 0.792